{"formula": "Rb2ZrVO6", "functional": "GGA+U", "state": "optimized geometry", "space_group": "P-3m1 (164)", "e_tot_ev_per_cell": -67.33, "lattice_angstrom": [[6.421, 0.000, 0.000], [-3.210, 5.561, 0.000], [0.000, 0.000, 5.462]], "species": ["Rb", "Rb", "Zr", "V", "O", "O", "O", "O", "O", "O"], "frac_coords": [[0.333, 0.667, 0.140], [0.667, 0.333, 0.860], [0.000, 0.000, 0.500], [0.000, 0.000, 0.000], [0.134, 0.267, 0.780], [0.134, 0.866, 0.780], [0.267, 0.134, 0.220], [0.733, 0.866, 0.780], [0.866, 0.134, 0.220], [0.866, 0.733, 0.220]]}